1.
{"formula": "NdUCu", "functional": "PBE-GGA", "state": "relaxed", "lattice": [[2.5604, -3.9668, -0.3007], [-1.9760, -4.1743, 1.0256], [-0.8661, -3.1186, -3.4505]], "species": ["Cu", "Nd", "U"], "fractional_positions": [[0.0000, 0.0000, 0.0000], [0.2500, 0.2500, 0.2500], [0.7500, 0.7500, 0.7500]], "formation_energy_kj_per_mol_fu": 238, "space_group": "F-43m (216)"}

2.
{"formula": "NaSmZnTe3", "functional": "PBE-GGA", "state": "relaxed", "lattice": [[15.0780, 0.0000, 0.0000], [0.0000, 4.3565, 0.0000], [0.0000, 0.0000, 11.9549]], "species": ["Na", "Na", "Na", "Na", "Sm", "Sm", "Sm", "Sm", "Te", "Te", "Te", "Te", "Te", "Te", "Te", "Te", "Te", "Te", "Te", "Te", "Zn", "Zn", "Zn", "Zn"], "fractional_positions": [[0.7304, 0.7500, 0.0635], [0.2304, 0.7500, 0.4365], [0.7696, 0.2500, 0.5635], [0.2696, 0.2500, 0.9365], [0.0166, 0.7500, 0.1586], [0.5166, 0.7500, 0.3414], [0.4834, 0.2500, 0.6586], [0.9834, 0.2500, 0.8414], [0.8861, 0.2500, 0.0706], [0.4020, 0.7500, 0.1093], [0.6431, 0.2500, 0.2420], [0.1431, 0.2500, 0.2580], [0.9020, 0.7500, 0.3907], [0.3861, 0.2500, 0.4294], [0.6139, 0.7500, 0.5706], [0.0980, 0.2500, 0.6093], [0.8569, 0.7500, 0.7420], [0.3569, 0.7500, 0.7580], [0.5980, 0.2500, 0.8907], [0.1139, 0.7500, 0.9294], [0.5115, 0.2500, 0.0959], [0.0115, 0.2500, 0.4041], [0.9885, 0.7500, 0.5959], [0.4885, 0.7500, 0.9041]], "dft_energy_ry_per_atom": -0.277, "space_group": "Pnma (62)"}

3.
{"formula": "TaFeSnHg", "functional": "PBE-GGA", "state": "relaxed", "lattice": [[-0.2611, -4.6210, -0.5679], [-2.2123, -2.6164, 3.1629], [-4.0800, -1.9915, -1.0638]], "species": ["Fe", "Hg", "Sn", "Ta"], "fractional_positions": [[0.7500, 0.7500, 0.7500], [0.2500, 0.2500, 0.2500], [0.0000, 0.0000, 0.0000], [0.5000, 0.5000, 0.5000]], "dft_energy_ry_per_atom": -0.406, "space_group": "F-43m (216)"}

no.,mass density (Mg/m³),size of the total moment (μB per formula unit)
1,9.888,0.03
2,5.257,0.01
3,12.880,0.98